A relaxed GaCo2Pt crystal. Source: Alexandria via LeMat-Bulk, functional GGA-PBE.

POSCAR file:
```
GaCo2Pt
1.0
-1.787 1.787 8.980
1.787 -1.787 8.980
1.787 1.787 -8.980
Ga Co Pt
2 4 2
Direct
0.000 0.000 0.000 Ga
0.750 0.250 0.500 Ga
0.098 0.625 0.973 Co
0.375 0.348 0.473 Co
0.652 0.125 0.027 Co
0.875 0.902 0.527 Co
0.250 0.750 0.500 Pt
0.500 0.500 0.000 Pt
```

Calculated values
- Symmetry: I-42d, No. 122
- V: 57.4 Å³/f.u.
- Electronic total energy: -5.703 eV per atom
- Mass density: 11.1 g/cm³
- DOS at the Fermi energy: 3.588 states/eV/f.u.